[1]
# PuTh2RuN4

An optimized crystal structure of PuTh2RuN4 (PBE, Alexandria via LeMat-Bulk).

POSCAR file:
```
PuTh2RuN4
1.0
-1.602 -3.016 0.460
4.822 -1.163 -3.731
6.890 -2.196 9.589
Pu Th Ru N
2 4 2 8
Cartesian
6.070 -2.247 6.406
4.040 -4.129 -0.088
6.795 -3.190 2.752
0.643 -2.333 -0.152
3.314 -3.185 3.566
9.467 -4.042 6.470
7.185 -5.027 4.968
2.925 -1.348 1.350
3.158 -1.786 -0.712
5.308 -4.065 4.742
6.952 -4.589 7.030
4.801 -2.310 1.576
3.445 -1.098 4.794
0.000 0.000 0.000
8.888 -4.119 3.952
1.221 -2.256 2.366
```

Values from the calculation:
E_tot	-9.956	eV/atom


[2]
# Pu2URuN4

An optimized crystal structure of Pu2URuN4 (PBE, Alexandria via LeMat-Bulk).

POSCAR file:
```
Pu2URuN4
1.0
3.318 0.000 0.000
-1.659 5.742 0.000
0.000 0.000 11.630
Pu U Ru N
4 2 2 8
Cartesian
0.000 4.238 6.429
1.659 1.504 0.614
1.659 1.504 5.202
0.000 4.238 11.017
0.000 1.280 8.723
1.659 4.462 2.908
1.659 4.047 8.723
0.000 1.695 2.908
0.000 3.276 1.517
1.659 2.467 7.332
1.659 2.467 10.113
0.000 3.276 4.298
0.000 0.000 5.815
0.000 0.000 0.000
0.000 5.337 8.723
1.659 0.405 2.908
```

Values from the calculation:
E_tot	-11.194	eV/atom


Among the records above, which one has the lowest E_tot? Pu2URuN4


The lowest E_tot belongs to which entry? Pu2URuN4


Which of these has the highest E_tot? PuTh2RuN4


Among the records above, which one has the highest E_tot? PuTh2RuN4